(1)
Entry from Alexandria via LeMat-Bulk: an optimized crystal structure of Na3Sn2Hg8 (PBE).

Cell: 6.400 6.400 11.580 Å, 73.96 73.96 60.00°
Element x y z (fractional)
Na (0.000, 0.000, 0.000)
Na (0.785, 0.785, 0.646)
Na (0.215, 0.215, 0.354)
Sn (0.604, 0.604, 0.187)
Sn (0.396, 0.396, 0.813)
Hg (0.694, 0.694, 0.917)
Hg (0.306, 0.306, 0.083)
Hg (0.183, 0.715, 0.387)
Hg (0.715, 0.183, 0.387)
Hg (0.715, 0.715, 0.387)
Hg (0.285, 0.817, 0.613)
Hg (0.817, 0.285, 0.613)
Hg (0.285, 0.285, 0.613)

Summary:
Total moment ... 0.00 μB per formula unit
Formation energy ... -0.030 eV per atom



(2)
Entry from Alexandria via LeMat-Bulk: an optimized crystal structure of BeCo2Os (PBE).

Cell: 4.284 4.284 4.284 Å, 131.11 131.11 71.64°
Element x y z (fractional)
Co (0.000, 0.000, 0.000)
Co (0.250, 0.750, 0.500)
Os (0.500, 0.500, 0.000)
Be (0.750, 0.250, 0.500)

Summary:
Total moment ... 0.40 μB per formula unit
Formation energy ... 0.058 eV per atom



(3)
Entry from Alexandria via LeMat-Bulk: an optimized crystal structure of NpTlPt2 (PBE).

Cell: 3.695 3.695 9.252 Å, 78.48 78.48 60.00°
Element x y z (fractional)
Np (0.500, 0.500, 0.500)
Tl (0.000, 0.000, 0.000)
Pt (0.103, 0.103, 0.691)
Pt (0.897, 0.897, 0.309)

Summary:
Total moment ... 2.92 μB per formula unit
Formation energy ... -0.061 eV per atom



(4)
Entry from Alexandria via LeMat-Bulk: an optimized crystal structure of Zn2FeRe (PBE).

Cell: 2.634 2.634 8.567 Å, 90.00 90.00 109.49°
Element x y z (fractional)
Fe (0.000, 0.000, 0.500)
Re (0.500, 0.500, 0.739)
Zn (0.000, 0.000, 0.000)
Zn (0.500, 0.500, 0.261)

Summary:
Total moment ... 2.56 μB per formula unit
Formation energy ... 0.129 eV per atom



(5)
Entry from Alexandria via LeMat-Bulk: an optimized crystal structure of Tl2PdS (PBE).

Cell: 7.078 7.078 6.667 Å, 57.94 57.94 90.00°
Element x y z (fractional)
Tl (0.628, 0.125, 0.250)
Tl (0.122, 0.625, 0.250)
Tl (0.375, 0.372, 0.750)
Tl (0.875, 0.878, 0.750)
S (0.500, 0.500, 0.000)
S (0.250, 0.750, 0.500)
Pd (0.000, 0.000, 0.000)
Pd (0.750, 0.250, 0.500)

Summary:
Total moment ... 0.00 μB per formula unit
Total DFT energy (no corrections) ... -28.2 eV for the cell shown



(6)
Entry from Alexandria via LeMat-Bulk: an optimized crystal structure of La2ThAg (PBE).

Cell: 3.453 3.453 12.173 Å, 81.85 81.85 60.00°
Element x y z (fractional)
Ag (0.500, 0.500, 0.500)
Th (0.000, 0.000, 0.000)
La (0.095, 0.095, 0.715)
La (0.905, 0.905, 0.285)

Summary:
Total moment ... 0.00 μB per formula unit
Formation energy ... 0.187 eV per atom



(7)
Entry from Alexandria via LeMat-Bulk: an optimized crystal structure of CsLaMgTe3 (PBE).

Cell: 4.716 10.445 11.222 Å, 108.96 90.00 90.00°
Element x y z (fractional)
Cs (0.250, 0.212, 0.238)
Cs (0.750, 0.788, 0.762)
La (0.250, 0.672, 0.138)
La (0.750, 0.328, 0.862)
Mg (0.250, 0.083, 0.608)
Mg (0.750, 0.917, 0.392)
Te (0.750, 0.887, 0.138)
Te (0.250, 0.113, 0.862)
Te (0.250, 0.802, 0.460)
Te (0.750, 0.198, 0.540)
Te (0.750, 0.471, 0.160)
Te (0.250, 0.529, 0.840)

Summary:
Total moment ... 0.00 μB per formula unit
Total DFT energy (no corrections) ... -49.1 eV for the cell shown



(8)
Entry from Alexandria via LeMat-Bulk: an optimized crystal structure of Cs2CdHgAs (PBE).

Cell: 7.226 7.226 5.255 Å, 90.00 90.00 90.00°
Element x y z (fractional)
Cs (0.000, 0.500, 0.000)
Cs (0.500, 0.000, 0.000)
As (0.000, 0.000, 0.000)
Hg (0.500, 0.500, 0.500)
Cd (0.000, 0.000, 0.500)

Summary:
Total moment ... 0.00 μB per formula unit
Formation energy ... -0.192 eV per atom



(9)
Entry from Alexandria via LeMat-Bulk: an optimized crystal structure of SrCdAs2Br (PBE).

Cell: 6.004 6.004 5.776 Å, 90.00 90.00 90.00°
Element x y z (fractional)
Sr (0.000, 0.000, 0.000)
As (0.000, 0.500, 0.000)
As (0.500, 0.000, 0.000)
Br (0.000, 0.000, 0.500)
Cd (0.500, 0.500, 0.500)

Summary:
Total moment ... 2.07 μB per formula unit
Total DFT energy (no corrections) ... -12.1 eV for the cell shown



(10)
Entry from Alexandria via LeMat-Bulk: an optimized crystal structure of CsRbIn3 (PBE).

Cell: 6.997 7.042 9.338 Å, 67.85 90.00 90.00°
Element x y z (fractional)
Cs (0.750, 0.405, 0.191)
Cs (0.250, 0.595, 0.809)
Rb (0.750, 0.796, 0.409)
Rb (0.250, 0.204, 0.591)
In (0.750, 0.873, 0.785)
In (0.750, 0.342, 0.785)
In (0.250, 0.658, 0.215)
In (0.250, 0.127, 0.215)
In (0.000, 0.000, 0.000)
In (0.500, 0.000, 0.000)

Summary:
Total moment ... 0.00 μB per formula unit
Formation energy ... -0.050 eV per atom



(11)
Entry from Alexandria via LeMat-Bulk: an optimized crystal structure of PmNd15Sm4 (PBE).

Cell: 5.194 5.194 25.912 Å, 90.00 90.00 90.00°
Element x y z (fractional)
Pm (0.000, 0.000, 0.000)
Nd (0.500, 0.500, 0.000)
Nd (0.500, 0.500, 0.200)
Nd (0.500, 0.500, 0.400)
Nd (0.500, 0.500, 0.600)
Nd (0.500, 0.500, 0.800)
Nd (0.500, 0.000, 0.100)
Nd (0.500, 0.000, 0.300)
Nd (0.500, 0.000, 0.500)
Nd (0.500, 0.000, 0.700)
Nd (0.500, 0.000, 0.900)
Nd (0.000, 0.500, 0.100)
Nd (0.000, 0.500, 0.300)
Nd (0.000, 0.500, 0.500)
Nd (0.000, 0.500, 0.700)
Nd (0.000, 0.500, 0.900)
Sm (0.000, 0.000, 0.200)
Sm (0.000, 0.000, 0.400)
Sm (0.000, 0.000, 0.600)
Sm (0.000, 0.000, 0.800)

Summary:
Total moment ... 0.00 μB per formula unit
Formation energy ... 0.014 eV per atom



(12)
Entry from Alexandria via LeMat-Bulk: an optimized crystal structure of CaSbW2Au (PBE).

Cell: 3.345 5.596 6.480 Å, 106.42 104.94 90.00°
Element x y z (fractional)
Sb (0.121, 0.736, 0.539)
Ca (0.847, 0.690, 0.001)
Au (0.427, 0.237, 0.152)
W (0.739, 0.123, 0.774)
W (0.112, 0.235, 0.522)

Summary:
Total moment ... 0.00 μB per formula unit
Total DFT energy (no corrections) ... -34.0 eV for the cell shown



(13)
Entry from Alexandria via LeMat-Bulk: an optimized crystal structure of TlZnIn2 (PBE).

Cell: 4.607 4.607 6.545 Å, 69.40 69.40 60.00°
Element x y z (fractional)
Tl (0.495, 0.495, 0.516)
Zn (0.673, 0.673, 0.981)
In (0.057, 0.057, 0.829)
In (0.275, 0.275, 0.175)

Summary:
Total moment ... 0.00 μB per formula unit
Formation energy ... 0.095 eV per atom



(14)
Entry from Alexandria via LeMat-Bulk: an optimized crystal structure of CsTl4Hg (PBE).

Cell: 7.242 7.242 10.399 Å, 69.61 69.61 89.95°
Element x y z (fractional)
Cs (0.500, 0.500, 0.000)
Cs (0.000, 0.000, 0.000)
Tl (0.988, 0.183, 0.330)
Tl (0.183, 0.683, 0.330)
Tl (0.487, 0.987, 0.330)
Tl (0.513, 0.013, 0.670)
Tl (0.817, 0.317, 0.670)
Tl (0.012, 0.817, 0.670)
Tl (0.317, 0.512, 0.670)
Tl (0.683, 0.488, 0.330)
Hg (0.750, 0.750, 0.500)
Hg (0.250, 0.250, 0.500)

Summary:
Total moment ... 0.00 μB per formula unit
Formation energy ... -0.061 eV per atom



(15)
Entry from Alexandria via LeMat-Bulk: an optimized crystal structure of Ba2NaSi (PBE).

Cell: 4.717 4.717 12.163 Å, 78.82 78.82 60.00°
Element x y z (fractional)
Na (0.000, 0.000, 0.000)
Si (0.500, 0.500, 0.500)
Ba (0.116, 0.116, 0.651)
Ba (0.884, 0.884, 0.349)

Summary:
Total moment ... 0.48 μB per formula unit
Total DFT energy (no corrections) ... -10.5 eV for the cell shown



(16)
Entry from Alexandria via LeMat-Bulk: an optimized crystal structure of RhPbO4 (PBE).

Cell: 4.854 5.660 5.873 Å, 109.36 90.00 90.00°
Element x y z (fractional)
Rh (0.500, 0.500, 0.000)
Rh (0.000, 0.000, 0.000)
Pb (0.000, 0.500, 0.500)
Pb (0.500, 0.000, 0.500)
O (0.303, 0.831, 0.120)
O (0.197, 0.331, 0.120)
O (0.638, 0.619, 0.340)
O (0.138, 0.881, 0.660)
O (0.862, 0.119, 0.340)
O (0.362, 0.381, 0.660)
O (0.803, 0.669, 0.880)
O (0.697, 0.169, 0.880)

Summary:
Total moment ... 0.00 μB per formula unit
Total DFT energy (no corrections) ... -70.9 eV for the cell shown



(17)
Entry from Alexandria via LeMat-Bulk: an optimized crystal structure of Sc2Ga3Sn3 (PBE).

Cell: 4.235 4.303 9.319 Å, 90.00 90.00 90.00°
Element x y z (fractional)
Sc (0.000, 0.000, 0.764)
Sc (0.000, 0.000, 0.236)
Ga (0.500, 0.500, 0.765)
Ga (0.500, 0.500, 0.235)
Ga (0.500, 0.000, 0.000)
Sn (0.500, 0.000, 0.500)
Sn (0.000, 0.500, 0.000)
Sn (0.000, 0.500, 0.500)

Summary:
Total moment ... 0.00 μB per formula unit
Formation energy ... -0.351 eV per atom



(18)
Entry from Alexandria via LeMat-Bulk: an optimized crystal structure of RbSiBi2Pt (PBE).

Cell: 5.391 5.910 5.391 Å, 90.00 90.00 90.00°
Element x y z (fractional)
Rb (0.000, 0.500, 0.000)
Si (0.500, 0.500, 0.500)
Bi (0.000, 0.000, 0.500)
Bi (0.500, 0.000, 0.000)
Pt (0.000, 0.000, 0.000)

Summary:
Total moment ... 0.00 μB per formula unit
Total DFT energy (no corrections) ... -17.4 eV for the cell shown



(19)
Entry from Alexandria via LeMat-Bulk: an optimized crystal structure of Tl2CrRe (PBE).

Cell: 3.004 4.179 6.145 Å, 90.00 90.00 90.00°
Element x y z (fractional)
Cr (0.500, 0.500, 0.250)
Re (0.500, 0.500, 0.750)
Tl (0.000, 0.000, 0.997)
Tl (0.000, 0.000, 0.503)

Summary:
Total moment ... 4.44 μB per formula unit
Formation energy ... 1.024 eV per atom



(20)
Entry from Alexandria via LeMat-Bulk: an optimized crystal structure of ScPd2PtAu (PBE).

Cell: 4.277 6.666 6.509 Å, 103.74 90.00 90.00°
Element x y z (fractional)
Sc (0.250, 0.780, 0.873)
Sc (0.750, 0.220, 0.127)
Pd (0.750, 0.604, 0.462)
Pd (0.250, 0.396, 0.538)
Pd (0.750, 0.483, 0.847)
Pd (0.250, 0.517, 0.153)
Pt (0.250, 0.175, 0.845)
Pt (0.750, 0.825, 0.155)
Au (0.250, 0.868, 0.465)
Au (0.750, 0.132, 0.535)

Summary:
Total moment ... 0.00 μB per formula unit
Formation energy ... -0.541 eV per atom



(21)
Entry from Alexandria via LeMat-Bulk: an optimized crystal structure of HfMnBi2H (PBE).

Cell: 5.250 3.427 5.250 Å, 90.00 90.00 90.00°
Element x y z (fractional)
H (0.000, 0.000, 0.000)
Mn (0.000, 0.500, 0.000)
Hf (0.500, 0.500, 0.500)
Bi (0.000, 0.000, 0.500)
Bi (0.500, 0.000, 0.000)

Summary:
Total moment ... 2.78 μB per formula unit
Total DFT energy (no corrections) ... -29.2 eV for the cell shown



(22)
Entry from Alexandria via LeMat-Bulk: an optimized crystal structure of SiTe3 (PBE).

Cell: 6.626 6.626 6.626 Å, 144.76 137.53 56.33°
Element x y z (fractional)
Si (0.500, 0.000, 0.500)
Te (0.320, 0.320, 0.000)
Te (0.680, 0.680, 0.000)
Te (0.000, 0.500, 0.500)

Summary:
Total moment ... 0.00 μB per formula unit
Total DFT energy (no corrections) ... -13.6 eV for the cell shown



(23)
Entry from Alexandria via LeMat-Bulk: an optimized crystal structure of CaCrCl (PBE).

Cell: 7.389 7.389 7.389 Å, 152.80 152.79 38.85°
Element x y z (fractional)
Cr (0.643, 0.643, 0.000)
Ca (0.981, 0.981, 0.000)
Cl (0.377, 0.377, 0.000)

Summary:
Total moment ... 4.86 μB per formula unit
Total DFT energy (no corrections) ... -14.4 eV for the cell shown



(24)
Entry from Alexandria via LeMat-Bulk: an optimized crystal structure of ZnHI4 (PBE).

Cell: 4.370 11.914 10.762 Å, 119.66 87.44 104.30°
Element x y z (fractional)
Zn (0.154, 0.314, 0.617)
Zn (0.846, 0.686, 0.383)
H (0.922, 0.171, 0.190)
H (0.078, 0.829, 0.810)
I (0.037, 0.118, 0.359)
I (0.823, 0.207, 0.063)
I (0.619, 0.434, 0.363)
I (0.651, 0.327, 0.770)
I (0.349, 0.673, 0.230)
I (0.381, 0.566, 0.637)
I (0.177, 0.793, 0.937)
I (0.963, 0.882, 0.641)

Summary:
Total moment ... 0.00 μB per formula unit
Total DFT energy (no corrections) ... -24.4 eV for the cell shown



(25)
Entry from Alexandria via LeMat-Bulk: an optimized crystal structure of LiBF3 (PBE).

Cell: 3.625 3.625 3.625 Å, 90.00 90.00 90.00°
Element x y z (fractional)
B (0.500, 0.500, 0.500)
Li (0.000, 0.000, 0.000)
F (0.000, 0.500, 0.000)
F (0.000, 0.000, 0.500)
F (0.500, 0.000, 0.000)

Summary:
Total moment ... 0.00 μB per formula unit
Total DFT energy (no corrections) ... -17.6 eV for the cell shown



(26)
Entry from Alexandria via LeMat-Bulk: an optimized crystal structure of CdRh2Pb (PBE).

Cell: 6.101 6.101 6.101 Å, 57.65 151.76 130.86°
Element x y z (fractional)
Cd (0.000, 0.000, 0.000)
Rh (0.000, 0.750, 0.750)
Rh (0.000, 0.250, 0.250)
Pb (0.000, 0.500, 0.500)

Summary:
Total moment ... 0.00 μB per formula unit
Formation energy ... 0.578 eV per atom